Here is a geometry-optimized Cs8Cl2O structure from Alexandria. Energies are from PBE.

Properties
ΔE_f (raw): -944 meV per atom
D(E_F): 6.9 states/eV per cell
Size of the total moment: 0.38 μB per formula unit

Cell: 9.7400 9.7400 8.6809 Å, 99.32 99.32 86.24°
With the nearest neighbours (Å) after each atom.
Atoms (fractional coordinates):
Cs 0.1168 0.8162 0.7325  1 O 2.96
Cs 0.1838 0.8832 0.2675  1 O 2.96
Cs 0.2072 0.2072 0.6603  1 O 2.97
Cs 0.3724 0.3724 0.2021  1 Cl 3.37
Cs 0.6276 0.6276 0.7979  1 Cl 3.37
Cs 0.7928 0.7928 0.3397  1 O 2.97
Cs 0.8162 0.1168 0.7325  1 O 2.96
Cs 0.8832 0.1838 0.2675  1 O 2.96
Cl 0.1384 0.1384 0.0124  6 Cs 3.37-3.64
Cl 0.8616 0.8616 0.9876  6 Cs 3.37-3.64
O 0.0000 0.0000 0.5000  6 Cs 2.96-2.97